#a
VASP calculation (PBE-GGA) on a relaxed structure of Gd2TeAu.

## Properties
- Fermi-level density of states (states/eV per atom) = 1.4924

Cell lengths 3.8308, 3.8308, 7.0613 Å; angles 90.00, 90.00, 90.00 degrees
Element x y z (fractional)
Gd 0.0000 0.0000 0.2415
Gd 0.0000 0.0000 0.7585
Te 0.5000 0.5000 0.5000
Au 0.5000 0.5000 0.0000



#b
VASP calculation (PBE-GGA) on a relaxed structure of Gd2TeAu.

## Properties
- Fermi-level density of states (states/eV per atom) = 1.2881

Cell lengths 7.9252, 7.9252, 7.9252 Å; angles 30.76, 30.76, 30.76 degrees
Element x y z (fractional)
Gd 0.2435 0.2435 0.2435
Gd 0.7565 0.7565 0.7565
Te 0.0000 0.0000 0.0000
Au 0.5000 0.5000 0.5000



#b comes first in stability; the runner-up is 87 meV per atom higher.